(1)
Material: LiAl2B
Method: DFT, PBE
State: optimized geometry

Calculated values
calculated density = 1.95 g/cm³
energy = -3.81 eV/atom
size of the total moment = 0.000 μB/atom

Cell lengths 7.3420, 7.3420, 5.6662 Å; angles 49.62, 49.62, 90.00 degrees
Positions (direct):
Li  0.5000  0.5000  0.0000
Li  0.2500  0.7500  0.5000
Al  0.8750  0.9919  0.7500
Al  0.0081  0.6250  0.2500
Al  0.7419  0.1250  0.2500
Al  0.3750  0.2581  0.7500
B  0.0000  0.0000  0.0000
B  0.7500  0.2500  0.5000


(2)
Material: Li3AlB
Method: DFT, PBE
State: optimized geometry

Calculated values
calculated density = 0.84 g/cm³
energy above the lowest structure with this stoichiometry = 738 meV/atom
energy = -2.00 eV/atom
size of the total moment = 0.063 μB/atom

Cell lengths 4.8709, 4.8709, 4.8709 Å; angles 90.00, 90.00, 90.00 degrees
Site moments in Bohr magnetons follow the coordinates.
Positions (direct):
Li  0.0000  0.5000  0.0000  0.01
Li  0.5000  0.0000  0.0000  0.01
Li  0.0000  0.0000  0.5000  0.01
B  0.5000  0.5000  0.5000  -0.02
Al  0.0000  0.0000  0.0000  0.06


(3)
Material: LiAlB4
Method: DFT, PBE
State: optimized geometry

Calculated values
calculated density = 2.31 g/cm³
energy above the lowest structure with this stoichiometry = 0 meV/atom
energy = -5.44 eV/atom
size of the total moment = 0.000 μB/atom

Cell lengths 3.3312, 5.8844, 11.3327 Å; angles 90.00, 90.00, 90.00 degrees
Positions (direct):
B  0.5000  0.6164  0.4499
B  0.5000  0.8688  0.5298
B  0.5000  0.8836  0.9499
B  0.5000  0.3006  0.8134
B  0.5000  0.6994  0.1866
B  0.5000  0.6312  0.0298
B  0.5000  0.3836  0.5501
B  0.5000  0.4814  0.6966
B  0.5000  0.8006  0.6866
B  0.5000  0.1164  0.0501
B  0.5000  0.0186  0.1966
B  0.5000  0.3688  0.9702
B  0.5000  0.1312  0.4702
B  0.5000  0.1994  0.3134
B  0.5000  0.9814  0.8034
B  0.5000  0.5186  0.3034
Al  0.0000  0.3576  0.4075
Al  0.0000  0.6424  0.5925
Al  0.0000  0.1424  0.9075
Al  0.0000  0.8576  0.0925
Li  0.0000  0.1275  0.6505
Li  0.0000  0.3725  0.1505
Li  0.0000  0.8725  0.3495
Li  0.0000  0.6275  0.8495


(4)
Material: Li2AlB2
Method: DFT, PBE
State: optimized geometry

Calculated values
calculated density = 1.73 g/cm³
energy above the lowest structure with this stoichiometry = 0 meV/atom
energy = -3.79 eV/atom
size of the total moment = 0.000 μB/atom

Cell lengths 2.6586, 2.6586, 8.6700 Å; angles 81.18, 81.18, 90.00 degrees
Positions (direct):
Li  0.6317  0.6317  0.7365
Li  0.3683  0.3683  0.2635
B  0.7500  0.2500  0.5000
B  0.2500  0.7500  0.5000
Al  0.0000  0.0000  0.0000


(5)
Material: Li3AlB
Method: DFT, PBE
State: optimized geometry

Calculated values
calculated density = 1.30 g/cm³
energy above the lowest structure with this stoichiometry = 0 meV/atom
energy = -2.74 eV/atom
size of the total moment = 0.000 μB/atom

Cell lengths 4.2141, 4.2141, 4.2141 Å; angles 90.00, 90.00, 90.00 degrees
Positions (direct):
Li  0.0000  0.0000  0.5000
Li  0.0000  0.5000  0.0000
Li  0.5000  0.0000  0.0000
B  0.0000  0.0000  0.0000
Al  0.5000  0.5000  0.5000


(6)
Material: LiAlB4
Method: DFT, PBE
State: optimized geometry

Calculated values
calculated density = 2.56 g/cm³
energy above the lowest structure with this stoichiometry = 6 meV/atom
energy = -5.44 eV/atom
size of the total moment = 0.000 μB/atom

Cell lengths 3.1023, 3.1023, 5.6408 Å; angles 105.96, 105.96, 90.00 degrees
Positions (direct):
B  0.6644  0.1644  0.3287
B  0.8356  0.3356  0.6713
B  0.5839  0.5839  0.1678
B  0.4161  0.4161  0.8322
Li  0.0000  0.0000  0.0000
Al  0.2500  0.7500  0.5000


(7)
Material: LiAlB4
Method: DFT, PBE
State: optimized geometry

Calculated values
calculated density = 2.81 g/cm³
energy above the lowest structure with this stoichiometry = 596 meV/atom
energy = -4.85 eV/atom
size of the total moment = 0.000 μB/atom

Cell lengths 4.0092, 4.0092, 4.0092 Å; angles 60.00, 60.00, 60.00 degrees
Positions (direct):
B  0.6295  0.6295  0.6295
B  0.1114  0.6295  0.6295
B  0.6295  0.6295  0.1114
B  0.6295  0.1114  0.6295
Li  0.0000  0.0000  0.0000
Al  0.2500  0.2500  0.2500


(8)
Material: Li2AlB2
Method: DFT, PBE
State: optimized geometry

Calculated values
calculated density = 2.09 g/cm³
energy above the lowest structure with this stoichiometry = 294 meV/atom
energy = -3.49 eV/atom
size of the total moment = 0.000 μB/atom

Cell lengths 6.5661, 6.5661, 2.3032 Å; angles 90.00, 90.00, 90.00 degrees
Positions (direct):
Li  0.6128  0.1128  0.0000
Li  0.1128  0.3872  0.0000
Li  0.8872  0.6128  0.0000
Li  0.3872  0.8872  0.0000
B  0.3163  0.1837  0.5000
B  0.1837  0.6837  0.5000
B  0.8163  0.3163  0.5000
B  0.6837  0.8163  0.5000
Al  0.0000  0.0000  0.0000
Al  0.5000  0.5000  0.0000


(9)
Material: LiAlB
Method: DFT, PBE
State: optimized geometry

Calculated values
calculated density = 2.04 g/cm³
energy = -4.00 eV/atom
size of the total moment = 0.000 μB/atom

Cell lengths 3.7178, 3.7178, 3.7178 Å; angles 60.00, 60.00, 60.00 degrees
Positions (direct):
Li  0.5000  0.5000  0.5000
B  0.2500  0.2500  0.2500
Al  0.0000  0.0000  0.0000


(10)
Material: Li2AlNi5B2
Method: DFT, PBE
State: optimized geometry

Calculated values
calculated density = 5.60 g/cm³
energy = -5.33 eV/atom
size of the total moment = 0.000 μB/atom

Cell lengths 2.7967, 8.6906, 8.6906 Å; angles 90.00, 90.00, 90.00 degrees
Positions (direct):
B  0.0000  0.3776  0.1224
B  0.0000  0.1224  0.6224
B  0.0000  0.8776  0.3776
B  0.0000  0.6224  0.8776
Al  0.0000  0.5000  0.5000
Al  0.0000  0.0000  0.0000
Ni  0.5000  0.0000  0.5000
Ni  0.5000  0.5000  0.0000
Ni  0.5000  0.9286  0.2205
Ni  0.5000  0.2795  0.5714
Ni  0.5000  0.4286  0.2795
Ni  0.5000  0.7795  0.9286
Ni  0.5000  0.0714  0.7795
Ni  0.5000  0.5714  0.7205
Ni  0.5000  0.7205  0.4286
Ni  0.5000  0.2205  0.0714
Li  0.0000  0.6752  0.1752
Li  0.0000  0.1752  0.3248
Li  0.0000  0.3248  0.8248
Li  0.0000  0.8248  0.6752


(11)
Material: Li2AlBO4
Method: DFT, PBE
State: optimized geometry

Calculated values
uncorrected formation energy = -2562 meV per atom
calculated density = 2.27 g/cm³
energy above the lowest structure with this stoichiometry = 0 meV/atom
energy = -6.82 eV/atom
size of the total moment = 0.000 μB/atom

Cell lengths 5.0935, 6.4243, 10.4361 Å; angles 83.35, 90.00, 90.00 degrees
Positions (direct):
O  0.9135  0.2666  0.0818
O  0.6970  0.6954  0.0486
O  0.1424  0.6008  0.2166
O  0.0865  0.7334  0.9182
O  0.4135  0.7334  0.4182
O  0.8576  0.3992  0.7834
O  0.7958  0.9504  0.3616
O  0.8030  0.6954  0.5486
O  0.2042  0.0496  0.6384
O  0.3030  0.3046  0.9514
O  0.2958  0.0496  0.1384
O  0.6424  0.3992  0.2834
O  0.3576  0.6008  0.7166
O  0.1970  0.3046  0.4514
O  0.5865  0.2666  0.5818
O  0.7042  0.9504  0.8616
B  0.1758  0.2025  0.0597
B  0.6758  0.7975  0.4403
B  0.3242  0.2025  0.5597
B  0.8242  0.7975  0.9403
Li  0.6332  0.1096  0.2131
Li  0.3289  0.7750  0.0708
Li  0.3668  0.8904  0.7869
Li  0.1332  0.8904  0.2869
Li  0.8668  0.1096  0.7131
Li  0.6711  0.2250  0.9292
Li  0.8289  0.2250  0.4292
Li  0.1711  0.7750  0.5708
Al  0.6476  0.5005  0.6581
Al  0.3524  0.4995  0.3419
Al  0.1476  0.4995  0.8419
Al  0.8524  0.5005  0.1581


(12)
Material: Li2AlBO4
Method: DFT, PBE
State: optimized geometry

Calculated values
uncorrected formation energy = -2523 meV per atom
calculated density = 2.69 g/cm³
energy above the lowest structure with this stoichiometry = 39 meV/atom
energy = -6.78 eV/atom
size of the total moment = 0.000 μB/atom

Cell lengths 4.8404, 4.8404, 4.8404 Å; angles 79.61, 126.17, 126.17 degrees
Positions (direct):
O  0.9613  0.5642  0.1672
O  0.3970  0.8328  0.7940
O  0.0387  0.2060  0.6030
O  0.6030  0.3970  0.4358
Li  0.0000  0.0000  0.0000
Li  0.5000  0.7500  0.2500
B  0.0000  0.5000  0.5000
Al  0.5000  0.2500  0.7500


(13)
Material: LiAlB2O5
Method: DFT, PBE
State: optimized geometry

Calculated values
uncorrected formation energy = -2600 meV per atom
calculated density = 2.14 g/cm³
energy = -7.47 eV/atom
size of the total moment = 0.000 μB/atom

Cell lengths 7.1702, 7.1702, 9.5058 Å; angles 69.14, 69.14, 90.71 degrees
Positions (direct):
B  0.2363  0.2293  0.0901
B  0.2575  0.6046  0.0288
B  0.7425  0.3954  0.9712
B  0.3954  0.7425  0.4712
B  0.2293  0.2363  0.5901
B  0.7637  0.7707  0.9099
B  0.7707  0.7637  0.4099
B  0.6046  0.2575  0.5288
Li  0.1582  0.8418  0.2500
Li  0.8418  0.1582  0.7500
Li  0.3725  0.6275  0.7500
Li  0.6275  0.3725  0.2500
O  0.1403  0.1744  0.2535
O  0.2176  0.6717  0.6050
O  0.8256  0.8597  0.2465
O  0.4354  0.2827  0.4818
O  0.7086  0.9148  0.9727
O  0.8597  0.8256  0.7465
O  0.1744  0.1403  0.7535
O  0.9148  0.7086  0.4727
O  0.6717  0.2176  0.1050
O  0.8286  0.4151  0.8130
O  0.3283  0.7824  0.8950
O  0.5849  0.1714  0.6870
O  0.4151  0.8286  0.3130
O  0.1714  0.5849  0.1870
O  0.7173  0.5646  0.0182
O  0.7824  0.3283  0.3950
O  0.2827  0.4354  0.9818
O  0.0852  0.2914  0.5273
O  0.2914  0.0852  0.0273
O  0.5646  0.7173  0.5182
Al  0.6551  0.9546  0.1531
Al  0.0454  0.3449  0.3469
Al  0.3449  0.0454  0.8469
Al  0.9546  0.6551  0.6531


(14)
Material: Li3AlB2O6
Method: DFT, PBE
State: optimized geometry

Calculated values
uncorrected formation energy = -2415 meV per atom
calculated density = 1.95 g/cm³
energy above the lowest structure with this stoichiometry = 83 meV/atom
energy = -6.80 eV/atom
size of the total moment = 0.000 μB/atom

Cell lengths 5.2763, 6.8426, 8.2427 Å; angles 108.66, 90.85, 90.10 degrees
Positions (direct):
Li  0.6849  0.4019  0.3806
Li  0.0446  0.3025  0.8029
Li  0.2445  0.3800  0.2649
Li  0.9554  0.6975  0.1971
Li  0.7555  0.6200  0.7351
Li  0.3151  0.5981  0.6194
O  0.3405  0.1432  0.6973
O  0.5943  0.3766  0.6001
O  0.0861  0.5916  0.8141
O  0.4057  0.6234  0.3999
O  0.7254  0.8344  0.5860
O  0.7990  0.1692  0.9076
O  0.4477  0.8090  0.8444
O  0.2746  0.1656  0.4140
O  0.6595  0.8568  0.3027
O  0.9139  0.4084  0.1859
O  0.5523  0.1910  0.1556
O  0.2010  0.8308  0.0924
B  0.7621  0.2571  0.0822
B  0.2379  0.7429  0.9178
B  0.5894  0.7705  0.4295
B  0.4106  0.2295  0.5705
Al  0.5732  0.0037  0.7680
Al  0.4268  0.9963  0.2320


(15)
Material: Li3AlB2O6
Method: DFT, PBE
State: optimized geometry

Calculated values
uncorrected formation energy = -2497 meV per atom
calculated density = 2.29 g/cm³
energy above the lowest structure with this stoichiometry = 0 meV/atom
energy = -6.88 eV/atom
size of the total moment = 0.000 μB/atom

Cell lengths 4.9176, 6.3256, 8.0437 Å; angles 73.49, 89.07, 89.13 degrees
Positions (direct):
Li  0.1767  0.4690  0.7384
Li  0.3188  0.6019  0.0708
Li  0.8297  0.2369  0.6113
Li  0.8233  0.5310  0.2616
Li  0.6812  0.3981  0.9292
Li  0.1703  0.7631  0.3887
Al  0.6500  0.0556  0.2749
Al  0.3500  0.9444  0.7251
O  0.7727  0.7965  0.4094
O  0.2899  0.3396  0.9702
O  0.6117  0.2573  0.3947
O  0.3133  0.0181  0.2180
O  0.7884  0.5077  0.6789
O  0.7101  0.6604  0.0298
O  0.6867  0.9819  0.7820
O  0.3883  0.7427  0.6053
O  0.1190  0.8365  0.8945
O  0.2273  0.2035  0.5906
O  0.8810  0.1635  0.1055
O  0.2116  0.4923  0.3211
B  0.3423  0.3212  0.4301
B  0.6577  0.6788  0.5699
B  0.8347  0.8236  0.9074
B  0.1653  0.1764  0.0926


(16)
Material: LiAl2BP
Method: DFT, PBE
State: optimized geometry

Calculated values
calculated density = 1.89 g/cm³
energy = -3.60 eV/atom
size of the total moment = 0.000 μB/atom

Cell lengths 4.8476, 3.8482, 4.8476 Å; angles 90.00, 90.00, 90.00 degrees
Positions (direct):
Al  0.0000  0.0000  0.5000
Al  0.5000  0.0000  0.0000
Li  0.5000  0.5000  0.5000
P  0.0000  0.0000  0.0000
B  0.0000  0.5000  0.0000


(17)
Material: LiAl2B2Rh5
Method: DFT, PBE
State: optimized geometry

Calculated values
calculated density = 8.17 g/cm³
energy = -6.53 eV/atom
size of the total moment = 0.000 μB/atom

Cell lengths 2.8909, 9.1605, 9.1605 Å; angles 90.00, 90.00, 90.00 degrees
Positions (direct):
B  0.0000  0.3681  0.1319
B  0.0000  0.6319  0.8681
B  0.0000  0.8681  0.3681
B  0.0000  0.1319  0.6319
Rh  0.5000  0.0739  0.7906
Rh  0.5000  0.2094  0.0739
Rh  0.5000  0.7906  0.9261
Rh  0.5000  0.5000  0.0000
Rh  0.5000  0.4261  0.2906
Rh  0.5000  0.0000  0.5000
Rh  0.5000  0.2906  0.5739
Rh  0.5000  0.7094  0.4261
Rh  0.5000  0.9261  0.2094
Rh  0.5000  0.5739  0.7094
Al  0.0000  0.1773  0.3227
Al  0.0000  0.6773  0.1773
Al  0.0000  0.3227  0.8227
Al  0.0000  0.8227  0.6773
Li  0.0000  0.5000  0.5000
Li  0.0000  0.0000  0.0000


(18)
Material: LuAlB14
Method: DFT, PBE
State: optimized geometry

Calculated values
calculated density = 4.65 g/cm³
energy = -6.52 eV/atom
size of the total moment = 0.000 μB/atom

Cell lengths 5.9064, 7.2610, 7.2610 Å; angles 68.71, 66.00, 66.00 degrees
Positions (direct):
Al  0.5000  0.0000  0.5000
Al  0.0000  0.0000  0.5000
B  0.0896  0.0785  0.7422
B  0.3996  0.6007  0.2755
B  0.8553  0.7686  0.5208
B  0.8325  0.2008  0.1343
B  0.1004  0.2245  0.8993
B  0.2242  0.7755  0.1007
B  0.3274  0.9680  0.8718
B  0.3553  0.0208  0.2686
B  0.6004  0.3993  0.7245
B  0.4104  0.7578  0.4215
B  0.7758  0.2245  0.8993
B  0.1672  0.0320  0.1282
B  0.3328  0.3718  0.4680
B  0.8996  0.7755  0.1007
B  0.2758  0.3993  0.7245
B  0.1675  0.7992  0.8657
B  0.6726  0.0320  0.1282
B  0.6672  0.6282  0.5320
B  0.8274  0.3718  0.4680
B  0.8328  0.9680  0.8718
B  0.6675  0.3657  0.2992
B  0.3325  0.6343  0.7008
B  0.9104  0.9215  0.2578
B  0.1726  0.6282  0.5320
B  0.1447  0.2314  0.4792
B  0.7242  0.6007  0.2755
B  0.5896  0.2422  0.5785
B  0.6447  0.9792  0.7314
Lu  0.2500  0.4028  0.0972
Lu  0.7500  0.5972  0.9028